Density functional theory data (PBE) for a relaxed structure of HoAl2O4.

Unit cell a=6.2302 b=6.2302 c=6.2302 alpha=125.68 beta=111.93 gamma=92.48
With the nearest neighbours (Å) after each atom.
Sites, in units of the cell vectors:
Ho 0.0000 0.0000 0.0000  6 O 2.22-2.27
Ho 0.5000 0.0000 0.5000  6 O 2.22-2.27
Al 0.0000 0.0000 0.5000  6 O 1.91-2.08
Al 0.0000 0.5000 0.0000  6 O 1.91-2.08
Al 0.3793 0.6293 0.7500  2 O 1.83
Al 0.6207 0.3707 0.2500  2 O 1.83
O 0.1814 0.7475 0.4339  2 Al 1.91
O 0.1864 0.2525 0.9339  2 Al 1.91
O 0.2409 0.2472 0.5063  1 Al 1.83
O 0.2409 0.7346 0.9937  1 Al 1.83
O 0.7591 0.2654 0.0063  1 Al 1.83
O 0.7591 0.7528 0.4937  1 Al 1.83
O 0.8136 0.7475 0.0661  2 Al 1.91
O 0.8186 0.2525 0.5661  2 Al 1.91

Properties
SG: Imma
Formation energy from raw total energies in meV/atom: -2720
Crystal system: orthorhombic